Entry from Alexandria: a relaxed structure of KBaMnF2 (PBE with a Hubbard U). Values from VASP.

Geometry as Quantum ESPRESSO input:
```
&SYSTEM
  ibrav = 0, nat = 5, ntyp = 4
/
ATOMIC_SPECIES
K 39.10 K.upf
Ba 137.33 Ba.upf
Mn 54.94 Mn.upf
F 19.00 F.upf
ATOMIC_POSITIONS crystal
K 0.0000 0.0000 0.0000
Ba 0.5000 0.5000 0.0000
Mn 0.5000 0.5000 0.5000
F 0.0000 0.5000 0.5000
F 0.5000 0.0000 0.5000
CELL_PARAMETERS angstrom
4.7287 0.0000 0.0000
0.0000 4.7287 0.0000
0.0000 0.0000 6.5362
```

Crystal system: tetragonal
Total DFT energy (no corrections): -3.661 eV per atom
Space group: No. 123